Below is CuNi3Pd6 after structural relaxation, with properties calculated at the PBE level.

Values from the calculation:
E_tot (eV per atom): -5.091
Crystal system: orthorhombic
Calculated formation energy (eV/atom): 0.168
DOS(E_F) (states/eV/cell): 67.5

```
data_CuNi3Pd6
_symmetry_space_group_name_H-M 'C m c 21'
_symmetry_Int_Tables_number 36
_cell_length_a 8.250
_cell_length_b 14.326
_cell_length_c 4.879
_cell_angle_alpha 90.00
_cell_angle_beta 90.00
_cell_angle_gamma 90.00
loop_
_symmetry_equiv_pos_as_xyz
'x,y,z'
'-x,-y,z+1/2'
'-x,y,z'
'x,-y,z+1/2'
'x+1/2,y+1/2,z'
'-x+1/2,-y+1/2,z+1/2'
'-x+1/2,y+1/2,z'
'x+1/2,-y+1/2,z+1/2'
loop_
_atom_site_label
_atom_site_type_symbol
_atom_site_fract_x
_atom_site_fract_y
_atom_site_fract_z
Cu1 Cu 0.000 0.220 0.000
Ni1 Ni 0.000 0.391 0.994
Ni2 Ni 0.152 0.112 0.725
Pd1 Pd 0.000 0.054 0.268
Pd2 Pd 0.000 0.313 0.464
Pd3 Pd 0.175 0.467 0.594
Pd4 Pd 0.245 0.202 0.308
```

=====

Below is CrIn3Pb after structural relaxation, with properties calculated at the PBE level.

Values from the calculation:
E_tot (eV per atom): -3.886
Crystal system: cubic
Calculated formation energy (eV/atom): 0.423
DOS(E_F) (states/eV/cell): 4.7

```
data_CrIn3Pb
_symmetry_space_group_name_H-M 'P m -3 m'
_symmetry_Int_Tables_number 221
_symmetry_space_group_name_Hall '-P 4 2 3'
_cell_length_a 5.199
_cell_length_b 5.199
_cell_length_c 5.199
_cell_angle_alpha 90.00
_cell_angle_beta 90.00
_cell_angle_gamma 90.00
loop_
_atom_site_label
_atom_site_type_symbol
_atom_site_fract_x
_atom_site_fract_y
_atom_site_fract_z
Cr1 Cr 0.000 0.000 0.000
In1 In 0.000 0.000 0.500
Pb1 Pb 0.500 0.500 0.500
```